A plane-wave DFT calculation with GGA-PBE was carried out for a relaxed Rb2SnF7 crystal.

Unit cell a=7.875 b=7.875 c=10.497 alpha=125.96 beta=125.96 gamma=51.24
Positions (direct):
Rb (0.004, 0.312, 0.234)
Rb (0.312, 0.004, 0.734)
Rb (0.688, 0.996, 0.266)
Rb (0.996, 0.688, 0.766)
Sn (0.293, 0.707, 0.250)
Sn (0.707, 0.293, 0.750)
F (0.033, 0.136, 0.908)
F (0.136, 0.033, 0.408)
F (0.169, 0.594, 0.290)
F (0.272, 0.456, 0.010)
F (0.397, 0.603, 0.750)
F (0.406, 0.831, 0.210)
F (0.456, 0.272, 0.510)
F (0.544, 0.728, 0.490)
F (0.594, 0.169, 0.790)
F (0.603, 0.397, 0.250)
F (0.728, 0.544, 0.990)
F (0.831, 0.406, 0.710)
F (0.864, 0.967, 0.592)
F (0.967, 0.864, 0.092)

Output
As for the space group: C2/c, No. 15. The energy relative to the lowest polymorph listed for this composition is 0.000 eV/atom. As for the theoretical density: 3.64 g cm⁻³. As for the uncorrected formation energy: -24.08 eV/f.u. As for the volume: 19.257 A^3/atom.